DFT (GGA-PBE) results for a geometry-optimized Mg2FeCoPt structure.

- Raw total energy: -21.2 eV for the cell shown
- Energy of formation from the pure elements: 0.72 eV per atom
- V: 111 Å³/cell

Cell: 4.846 4.846 4.714 Å, 90.00 90.00 90.00°
Fractional coordinates of all 5 atoms:
Mg: 0.000 0.500 0.000
Mg: 0.500 0.000 0.000
Fe: 0.000 0.000 0.500
Co: 0.500 0.500 0.500
Pt: 0.500 0.500 0.000



DFT (GGA-PBE) results for a geometry-optimized NaZnMo2Pb structure.

- Raw total energy: -21.6 eV for the cell shown
- Energy of formation from the pure elements: 1.28 eV per atom
- V: 111 Å³/cell

Cell: 4.831 4.831 4.772 Å, 90.00 90.00 90.00°
Fractional coordinates of all 5 atoms:
Na: 0.000 0.000 0.000
Zn: 0.000 0.000 0.500
Mo: 0.000 0.500 0.500
Mo: 0.500 0.000 0.500
Pb: 0.500 0.500 0.000



DFT (GGA-PBE) results for a geometry-optimized Sr3Pm5H12 structure.

- Raw total energy: -306.1 eV for the cell shown
- V: 1381 Å³/cell

Cell: 12.152 12.152 12.152 Å, 109.47 109.47 109.47°
Fractional coordinates of all 80 atoms:
Sr: 0.125 0.250 0.375
Sr: 0.125 0.375 0.750
Sr: 0.250 0.375 0.125
Sr: 0.250 0.875 0.625
Sr: 0.375 0.125 0.250
Sr: 0.375 0.750 0.125
Sr: 0.625 0.250 0.875
Sr: 0.625 0.875 0.750
Sr: 0.750 0.125 0.375
Sr: 0.750 0.625 0.875
Sr: 0.875 0.625 0.250
Sr: 0.875 0.750 0.625
Pm: 0.000 0.000 0.000
Pm: 0.000 0.000 0.500
Pm: 0.000 0.500 0.000
Pm: 0.000 0.500 0.500
Pm: 0.125 0.750 0.875
Pm: 0.125 0.875 0.250
Pm: 0.250 0.125 0.875
Pm: 0.250 0.625 0.375
Pm: 0.375 0.250 0.625
Pm: 0.375 0.625 0.750
Pm: 0.500 0.000 0.000
Pm: 0.500 0.000 0.500
Pm: 0.500 0.500 0.000
Pm: 0.500 0.500 0.500
Pm: 0.625 0.375 0.250
Pm: 0.625 0.750 0.375
Pm: 0.750 0.375 0.625
Pm: 0.750 0.875 0.125
Pm: 0.875 0.125 0.750
Pm: 0.875 0.250 0.125
H: 0.050 0.213 0.147
H: 0.050 0.337 0.903
H: 0.066 0.713 0.663
H: 0.066 0.853 0.403
H: 0.097 0.647 0.434
H: 0.097 0.950 0.663
H: 0.147 0.050 0.213
H: 0.147 0.597 0.934
H: 0.163 0.213 0.566
H: 0.163 0.450 0.597
H: 0.213 0.147 0.050
H: 0.213 0.566 0.163
H: 0.287 0.337 0.934
H: 0.287 0.450 0.353
H: 0.337 0.903 0.050
H: 0.337 0.934 0.287
H: 0.353 0.287 0.450
H: 0.353 0.566 0.903
H: 0.403 0.066 0.853
H: 0.403 0.837 0.550
H: 0.434 0.097 0.647
H: 0.434 0.837 0.787
H: 0.450 0.353 0.287
H: 0.450 0.597 0.163
H: 0.550 0.403 0.837
H: 0.550 0.647 0.713
H: 0.566 0.163 0.213
H: 0.566 0.903 0.353
H: 0.597 0.163 0.450
H: 0.597 0.934 0.147
H: 0.647 0.434 0.097
H: 0.647 0.713 0.550
H: 0.663 0.066 0.713
H: 0.663 0.097 0.950
H: 0.713 0.550 0.647
H: 0.713 0.663 0.066
H: 0.787 0.434 0.837
H: 0.787 0.853 0.950
H: 0.837 0.550 0.403
H: 0.837 0.787 0.434
H: 0.853 0.403 0.066
H: 0.853 0.950 0.787
H: 0.903 0.050 0.337
H: 0.903 0.353 0.566
H: 0.934 0.147 0.597
H: 0.934 0.287 0.337
H: 0.950 0.663 0.097
H: 0.950 0.787 0.853



Number 1: D(E_F) 6.18 states/eV/f.u.. Number 2: D(E_F) 4.04 states/eV/f.u.. Number 3: D(E_F) 10.49 states/eV/f.u..